Record 1
## K8Ag2O (GGA-PBE)

Data for an optimized crystal structure of K8Ag2O.

Formation energy from raw total energies (meV per atom): -180
Symmetry: C2/m
N(E_F) (states/eV per cell): 4.3
Total DFT energy (no corrections) (eV per atom): -1.95
Theoretical density (Mg/m³): 1.96
M_tot (μB per cell): 0.00
Calculated volume (A^3/atom): 42.0
Energy above the most stable polymorph in this dataset (meV per atom): 88

abc: 5.7155 7.4878 11.7706
angles: 108.26 104.05 90.00
Positions (direct):
K  0.5975  0.8713  0.1949
K  0.9992  0.2243  0.9984
K  0.2362  0.2404  0.4724
K  0.4025  0.1287  0.8051
O  0.5000  0.0000  0.0000
K  0.4052  0.6731  0.8103
K  0.5948  0.3269  0.1897
Ag  0.1391  0.6368  0.2782
K  0.7638  0.7596  0.5276
K  0.0008  0.7757  0.0016
Ag  0.8609  0.3632  0.7218

Record 2
## K8AgO2 (GGA-PBE)

Data for an optimized crystal structure of K8AgO2.

Formation energy from raw total energies (meV per atom): -468
Symmetry: C2/m
N(E_F) (states/eV per cell): 3.9
Total DFT energy (no corrections) (eV per atom): -2.43
Theoretical density (Mg/m³): 1.70
M_tot (μB per cell): 0.00
Calculated volume (A^3/atom): 40.2

abc: 5.0126 11.6333 11.6333
angles: 138.08 85.47 85.47
Positions (direct):
O  0.0000  0.7323  0.2677
Ag  0.5000  0.0000  0.0000
K  0.5000  0.3136  0.6864
O  0.0000  0.2677  0.7323
K  0.8717  0.2786  0.2786
K  0.1175  0.3682  0.0114
K  0.1283  0.7214  0.7214
K  0.8825  0.9886  0.6318
K  0.1175  0.0114  0.3682
K  0.5000  0.6864  0.3136
K  0.8825  0.6318  0.9886

Record 3
## KAg3O (GGA-PBE)

Data for an optimized crystal structure of KAg3O.

Formation energy from raw total energies (meV per atom): 1579
Symmetry: Pm-3m
N(E_F) (states/eV per cell): 1.4
Total DFT energy (no corrections) (eV per atom): -1.34
Theoretical density (Mg/m³): 3.63
M_tot (μB per cell): 0.00
Calculated volume (A^3/atom): 34.7
Energy above the most stable polymorph in this dataset (meV per atom): 1517

abc: 5.5767 5.5767 5.5767
angles: 90.00 90.00 90.00
Positions (direct):
Ag  0.0000  0.5000  0.0000
O  0.5000  0.5000  0.5000
Ag  0.5000  0.0000  0.0000
Ag  0.0000  0.0000  0.5000
K  0.0000  0.0000  0.0000

Record 4
## K9Ag3O2 (GGA-PBE)

Data for an optimized crystal structure of K9Ag3O2.

Formation energy from raw total energies (meV per atom): -433
Symmetry: P-3m1
N(E_F) (states/eV per cell): 5.1
Total DFT energy (no corrections) (eV per atom): -2.46
Theoretical density (Mg/m³): 2.32
M_tot (μB per cell): 0.00
Calculated volume (A^3/atom): 36.1

abc: 7.7870 7.7870 9.6314
angles: 90.00 90.00 120.00
Positions (direct):
K  0.3574  0.1787  0.3133
K  0.8213  0.1787  0.3133
Ag  0.3333  0.6667  0.3502
K  0.6426  0.8213  0.6867
O  0.3333  0.6667  0.8409
K  0.1787  0.3574  0.6867
K  0.8213  0.6426  0.3133
K  0.0000  0.5000  0.0000
K  0.1787  0.8213  0.6867
O  0.6667  0.3333  0.1591
Ag  0.6667  0.3333  0.6498
K  0.5000  0.0000  0.0000
K  0.5000  0.5000  0.0000
Ag  0.0000  0.0000  0.0000

Record 5
## KAgO2 (GGA-PBE)

Data for an optimized crystal structure of KAgO2.

Formation energy from raw total energies (meV per atom): -347
Symmetry: I-42d
N(E_F) (states/eV per cell): 2.4
Total DFT energy (no corrections) (eV per atom): -3.81
Theoretical density (Mg/m³): 3.76
M_tot (μB per cell): 0.00
Calculated volume (A^3/atom): 19.8

abc: 5.2652 5.2652 6.8086
angles: 67.25 67.25 90.00
Positions (direct):
Ag  0.0000  0.0000  0.0000
K  0.5000  0.5000  0.0000
O  0.7351  0.1250  0.2500
O  0.0149  0.6250  0.2500
K  0.2500  0.7500  0.5000
Ag  0.7500  0.2500  0.5000
O  0.3750  0.2649  0.7500
O  0.8750  0.9851  0.7500

Record 6
## KAg3O4 (GGA-PBE)

Data for an optimized crystal structure of KAg3O4.

Formation energy from raw total energies (meV per atom): -300
Symmetry: Cmmm
N(E_F) (states/eV per cell): 1.0
Total DFT energy (no corrections) (eV per atom): -3.99
Theoretical density (Mg/m³): 4.89
M_tot (μB per cell): 0.00
Calculated volume (A^3/atom): 18.1

abc: 3.9285 6.0486 6.8093
angles: 116.37 90.00 90.00
Positions (direct):
Ag  0.0000  0.2432  0.4863
Ag  0.0000  0.5000  0.0000
K  0.5000  0.0000  0.0000
O  0.0000  0.8717  0.2686
Ag  0.0000  0.7568  0.5137
O  0.0000  0.3969  0.2686
O  0.0000  0.6031  0.7314
O  0.0000  0.1283  0.7314

Record 7
## KAg3O (GGA-PBE)

Data for an optimized crystal structure of KAg3O.

Formation energy from raw total energies (meV per atom): 62
Symmetry: Pm-3m
N(E_F) (states/eV per cell): 1.2
Total DFT energy (no corrections) (eV per atom): -2.86
Theoretical density (Mg/m³): 5.88
M_tot (μB per cell): 0.00
Calculated volume (A^3/atom): 21.4
Energy above the most stable polymorph in this dataset (meV per atom): 0

abc: 4.7472 4.7472 4.7472
angles: 90.00 90.00 90.00
Positions (direct):
Ag  0.5000  0.0000  0.0000
K  0.5000  0.5000  0.5000
O  0.0000  0.0000  0.0000
Ag  0.0000  0.0000  0.5000
Ag  0.0000  0.5000  0.0000

Record 8
## K3Ag2O4 (GGA-PBE)

Data for an optimized crystal structure of K3Ag2O4.

Formation energy from raw total energies (meV per atom): -748
Symmetry: C2/m
N(E_F) (states/eV per cell): 4.5
Total DFT energy (no corrections) (eV per atom): -3.95
Theoretical density (Mg/m³): 3.75
M_tot (μB per cell): 0.00
Calculated volume (A^3/atom): 19.5

abc: 4.2478 6.4276 9.5333
angles: 131.31 90.00 109.30
Positions (direct):
O  0.7192  0.4384  0.1356
Ag  0.2531  0.5061  0.6300
Ag  0.7469  0.4939  0.3700
K  0.3922  0.7844  0.2273
O  0.7478  0.4956  0.5936
K  0.6078  0.2156  0.7727
K  0.0000  0.0000  0.0000
O  0.2522  0.5044  0.4064
O  0.2808  0.5616  0.8644

Record 9
## KAgO2 (GGA-PBE)

Data for an optimized crystal structure of KAgO2.

Formation energy from raw total energies (meV per atom): -621
Symmetry: Imma
Total DFT energy (no corrections) (eV per atom): -4.09
Theoretical density (Mg/m³): 3.32
M_tot (μB per cell): 0.00
Calculated volume (A^3/atom): 22.4

abc: 6.3488 6.3488 6.0417
angles: 118.41 118.41 90.67
Positions (direct):
K  0.8756  0.1244  0.2500
Ag  0.4906  0.5094  0.2500
O  0.2932  0.2933  0.7933
O  0.2933  0.2932  0.2933
O  0.7067  0.7068  0.7067
Ag  0.5094  0.4906  0.7500
K  0.1244  0.8756  0.7500
O  0.7068  0.7067  0.2067

Record 10
## K7AgO2 (GGA-PBE)

Data for an optimized crystal structure of K7AgO2.

Formation energy from raw total energies (meV per atom): -539
Symmetry: Cmmm
N(E_F) (states/eV per cell): 3.7
Total DFT energy (no corrections) (eV per atom): -2.58
Theoretical density (Mg/m³): 2.03
M_tot (μB per cell): 0.00
Calculated volume (A^3/atom): 33.9

abc: 5.3749 8.4268 8.4269
angles: 117.32 90.00 90.00
Positions (direct):
K  0.0000  0.6932  0.3068
K  0.5000  0.3358  0.0414
O  0.5000  0.3030  0.6970
K  0.5000  0.0414  0.3358
O  0.5000  0.6970  0.3030
Ag  0.0000  0.0000  0.0000
K  0.0000  0.3068  0.6932
K  0.5000  0.5000  0.5000
K  0.5000  0.9586  0.6642
K  0.5000  0.6642  0.9586

Record 11
## KAg2O4 (GGA-PBE)

Data for an optimized crystal structure of KAg2O4.

Formation energy from raw total energies (meV per atom): -142
Symmetry: I4_1/amd
N(E_F) (states/eV per cell): 10.9
Total DFT energy (no corrections) (eV per atom): -3.95
Theoretical density (Mg/m³): 4.72
M_tot (μB per cell): 4.08
Calculated volume (A^3/atom): 16.0
Energy above the most stable polymorph in this dataset (meV per atom): 141

abc: 6.7662 6.7662 6.7662
angles: 118.23 93.10 118.23
Site moments in Bohr magnetons follow the coordinates.
Positions (direct):
O  0.2028  0.8023  0.4006  0.31
O  0.1517  0.3021  0.8494  0.31
O  0.5994  0.8021  0.4017  0.31
O  0.1506  0.3023  0.4528  0.31
O  0.5983  0.1977  0.4005  0.31
Ag  0.3749  0.7499  0.1250  0.26
K  0.7500  0.5000  0.2500  0.01
K  0.0000  0.0000  0.0000  0.01
Ag  0.3750  0.7501  0.6251  0.26
Ag  0.8750  0.2499  0.6249  0.26
Ag  0.3751  0.2501  0.6250  0.26
O  0.5472  0.6979  0.8495  0.31
O  0.5995  0.1979  0.7972  0.31
O  0.1505  0.6977  0.8483  0.31

Record 12
## K14AgO (GGA-PBE)

Data for an optimized crystal structure of K14AgO.

Formation energy from raw total energies (meV per atom): -121
Symmetry: Amm2
N(E_F) (states/eV per cell): 11.4
Total DFT energy (no corrections) (eV per atom): -1.57
Theoretical density (Mg/m³): 1.08
M_tot (μB per cell): 0.00
Calculated volume (A^3/atom): 64.5

abc: 9.6359 9.6359 11.8222
angles: 90.00 90.00 109.96
Positions (direct):
K  0.9600  0.0400  0.6748
K  0.8146  0.6003  0.6946
K  0.3997  0.1854  0.3054
K  0.9600  0.0400  0.3252
O  0.8806  0.1194  0.5000
K  0.6261  0.9684  0.0000
K  0.5437  0.4563  0.0000
K  0.0198  0.3805  0.5000
K  0.6195  0.9802  0.5000
K  0.3997  0.1854  0.6946
K  0.0316  0.3739  0.0000
K  0.8146  0.6003  0.3054
K  0.3251  0.6749  0.7243
Ag  0.1709  0.8291  0.5000
K  0.1090  0.8910  0.0000
K  0.3251  0.6749  0.2757